DFT (PBE) results for a relaxed NaLiHPd crystal.

Calculated values
As for the electronic total energy: -3.196 eV per atom. The density of states at the Fermi level comes out at 0.62 states/eV per cell. As for the space-group type: No. 38.

The structure in CIF format:
```
data_NaLiHPd
_cell_length_a 2.923
_cell_length_b 3.972
_cell_length_c 5.644
_cell_angle_alpha 110.60
_cell_angle_beta 90.00
_cell_angle_gamma 90.00
_space_group_name_H-M_alt 'P 1'
_space_group_IT_number 1
loop_
_space_group_symop_operation_xyz
'x,y,z'
loop_
_atom_site_label
_atom_site_type_symbol
_atom_site_fract_x
_atom_site_fract_y
_atom_site_fract_z
_atom_site_occupancy
Li1 Li 0.000 0.974 0.947 1
Pd1 Pd 0.500 0.551 0.102 1
H1 H 0.000 0.646 0.291 1
Na1 Na 0.500 0.260 0.520 1
```